No. 1
HfB2AuC (PBEsol, relaxed); size of the total moment = 0.0 μB per formula unit; formation energy from the elements = 2.0466 eV/atom; space-group type = No. 123
1.0
-1.033 1.588 3.676
-4.255 -0.645 -0.917
0.221 -4.012 1.795
Hf B Au C
1 2 1 1
Cartesian
0.000 0.000 0.000
0.111 -2.006 0.897
-2.128 -0.322 -0.459
-2.534 -1.535 2.277
-0.516 0.794 1.838

=====

No. 2
CsK2Cd2 (PBEsol, relaxed); size of the total moment = 0.0 μB per formula unit; E above lowest polymorph = 19 meV/atom; formation energy from the elements = 0.0604 eV/atom; space-group type = No. 139
1.0
5.589 0.000 0.000
0.000 5.589 0.000
-2.794 -2.794 7.572
K Cd Cs
2 2 1
Cartesian
0.000 2.794 3.786
2.794 0.000 3.786
0.000 0.000 6.155
2.794 2.794 1.416
0.000 0.000 0.000

=====

No. 3
InB2I (PBEsol, relaxed); size of the total moment = 0.0 μB per formula unit; E_form (uncorrected) = 1.826 eV/atom; space-group type = No. 225
1.0
4.612 0.000 0.000
2.306 3.994 0.000
2.306 1.331 3.765
B In I
2 1 1
Cartesian
6.917 3.994 2.824
2.306 1.331 0.941
0.000 0.000 0.000
4.612 2.662 1.883

=====

No. 4
CaYNO2 (PBEsol, relaxed); size of the total moment = 1.8 μB per formula unit; E_form (uncorrected) = -1.511 eV/atom; space-group type = No. 123
1.0
4.297 0.000 0.000
0.000 4.297 0.000
0.000 0.000 4.353
Ca O N Y
1 2 1 1
Cartesian
2.149 2.149 2.177
2.149 0.000 0.000
0.000 2.149 0.000
0.000 0.000 2.177
0.000 0.000 0.000

=====

No. 5
LiScIr4 (PBEsol, relaxed); size of the total moment = 0.0 μB per formula unit; formation energy from the elements = -0.3464 eV/atom; space-group type = No. 216
1.0
5.143 0.000 0.000
2.572 4.454 0.000
2.572 1.485 4.199
Ir Sc Li
4 1 1
Cartesian
6.427 2.228 1.575
5.143 2.969 3.673
5.143 4.452 1.575
3.859 2.228 1.575
0.000 0.000 0.000
7.715 4.454 3.150

=====

No. 6
NaNb2Se4 (PBEsol, relaxed); size of the total moment = 0.0 μB per formula unit; E_form (uncorrected) = -0.957 eV/atom; space-group type = No. 156
1.0
3.483 0.000 0.000
-1.742 3.016 0.000
0.000 0.000 14.346
Se Nb Na
4 2 1
Cartesian
0.000 2.011 8.915
0.000 2.011 2.132
0.000 2.011 12.217
0.000 2.011 5.435
1.742 1.005 10.547
0.000 0.000 3.801
0.000 0.000 0.002

=====

No. 7
Ce9YO20 (PBEsol, relaxed); size of the total moment = 0.0 μB per formula unit; E_form (uncorrected) = -3.408 eV/atom; space-group type = No. 2
1.0
-3.222 4.120 -4.030
-0.228 -6.890 -3.256
-5.992 -0.546 6.035
O Ce Y
20 9 1
Cartesian
-3.924 -4.333 0.509
-5.412 -5.236 2.566
-2.484 -0.280 -3.700
-4.099 -4.637 -3.280
-3.810 -0.886 2.148
-6.958 -3.035 2.449
-5.518 1.017 -1.760
-5.343 1.321 2.029
-5.632 -2.430 -3.399
-4.030 1.920 -3.817
-5.458 -2.117 0.407
-6.839 0.411 4.065
-2.347 0.033 0.090
-3.984 -1.199 -1.659
-7.095 -3.349 -1.341
-2.449 -3.406 -1.546
-6.993 0.090 0.295
-2.603 -3.727 -5.316
-4.143 -1.495 -5.437
-5.299 -1.821 4.186
-3.120 -2.143 0.302
-6.146 -0.858 2.258
-6.322 -1.173 -1.553
-3.234 -5.596 -1.334
-0.114 -3.445 -1.628
-3.169 0.993 -1.865
-6.208 2.280 0.083
-6.273 -4.309 0.614
-3.296 -2.458 -3.509
0.000 0.000 0.000

=====

No. 8
TlZnTc (PBEsol, relaxed); size of the total moment = 0.1 μB per formula unit; formation energy from the elements = 0.8703 eV/atom; space-group type = No. 216
1.0
-1.316 0.985 -3.918
2.051 -1.551 -3.382
-1.843 -2.959 -2.429
Tc Tl Zn
1 1 1
Cartesian
0.000 0.000 0.000
-0.554 -1.763 -4.865
-0.277 -0.881 -2.432

=====

No. 9
ZrSbSI2 (PBEsol, relaxed); size of the total moment = 1.2 μB per formula unit; E_form (uncorrected) = 0.624 eV/atom; space-group type = No. 123
1.0
-5.418 0.697 0.397
-0.745 -4.304 -2.612
-0.020 -2.638 4.352
I Zr Sb S
2 1 1 1
Cartesian
-0.373 -2.152 -1.306
-0.010 -1.319 2.176
-3.092 -3.122 1.069
-2.709 0.349 0.199
0.000 0.000 0.000

=====

No. 10
CaTiAgC2 (PBEsol, relaxed); size of the total moment = 2.1 μB per formula unit; formation energy from the elements = 2.0967 eV/atom; space-group type = No. 123
1.0
-3.899 1.522 -0.619
0.544 -0.307 -4.184
-1.761 -4.470 0.099
Ca C Ag Ti
1 2 1 1
Cartesian
-2.558 -1.627 -2.352
0.272 -0.154 -2.092
-1.949 0.761 -0.309
0.000 0.000 0.000
-0.880 -2.235 0.050

=====

Question: What is the formula in the sixth record?
Answer: NaNb2Se4